This record from Alexandria describes a geometry-optimized Hf3NiO structure. The functional is GGA+U.

Properties
The value obtained for the total DFT energy (no corrections) is -40.7 eV/f.u. The calculation puts the energy above the most stable polymorph in this dataset at 0.0 meV/atom. The space-group type is Pm-3m. For the calculated density, the calculation gives 12.48 g/cm³.

```
Hf3NiO
1.0
4.330 0.000 0.000
0.000 4.330 0.000
0.000 0.000 4.330
Ni Hf O
1 3 1
Direct
0.500 0.500 0.500
0.000 0.500 0.000
0.000 0.000 0.500
0.500 0.000 0.000
0.000 0.000 0.000
```